Compound: Cs3Na2WO6
Source: Alexandria via LeMat-Bulk
Functional: PBE with a Hubbard U
Structure: optimized geometry

Unit cell a=6.2799 b=11.0378 c=6.8371 alpha=90.00 beta=106.32 gamma=90.00
With the nearest neighbours (Å) after each atom.
Space group C2/m (No. 12)
Unique sites:
1 Cs 0.0000 0.0000 0.0000 x2  6 O 2.93-3.28
2 Cs 0.0000 0.3268 0.0000 x4  4 O 2.90-2.91
3 Na 0.0000 0.1669 0.5000 x4  6 O 2.55-2.69
4 W 0.0000 0.5000 0.5000 x2  6 O 1.98
5 O 0.1883 0.3719 0.6640 x8  1 W 1.98
6 O 0.1960 0.5000 0.3186 x4  1 W 1.98

Computed properties:
For the total moment, the calculation gives 2.16 μB per cell. The calculation puts the total energy at -121.97 eV per cell.